Tb2OsCl, optimized geometry, DFT GGA-PBE; electronic total energy = -6.3115 eV/atom; energy above the lowest structure with this stoichiometry = 0.67 eV/f.u.; SG = No. 166; uncorrected formation energy = -70.17 kJ/mol of atoms
1.0
3.9776 0.0000 0.0000
-1.9888 3.4447 0.0000
0.0000 0.0000 22.3271
Tb Os Cl
6 3 3
direct
0.0000 0.0000 0.2351
0.0000 0.0000 0.7649
0.3333 0.6667 0.4316
0.3333 0.6667 0.9017
0.6667 0.3333 0.0983
0.6667 0.3333 0.5684
0.0000 0.0000 0.5000
0.3333 0.6667 0.1667
0.6667 0.3333 0.8333
0.0000 0.0000 0.0000
0.3333 0.6667 0.6667
0.6667 0.3333 0.3333

***

PuU2Mo, optimized geometry, DFT GGA-PBE; electronic total energy = -11.6635 eV/atom; energy above the lowest structure with this stoichiometry = 0.49 eV/f.u.; SG = No. 123; DFT formation energy = 0.271 eV/atom
1.0
3.3508 0.0000 0.0000
0.0000 3.3508 0.0000
0.0000 0.0000 6.7782
Pu U Mo
1 2 1
direct
0.0000 0.0000 0.0000
0.5000 0.5000 0.2392
0.5000 0.5000 0.7608
0.0000 0.0000 0.5000

***

CrHgSe3, optimized geometry, DFT GGA-PBE; electronic total energy = -3.8674 eV/atom; energy above the lowest structure with this stoichiometry = 0.00 eV/f.u.; SG = No. 221; uncorrected formation energy = 20.10 kJ/mol of atoms
1.0
4.8094 0.0000 0.0000
0.0000 4.8094 0.0000
0.0000 0.0000 4.8094
Cr Hg Se
1 1 3
direct
0.0000 0.0000 0.0000
0.5000 0.5000 0.5000
0.0000 0.0000 0.5000
0.0000 0.5000 0.0000
0.5000 0.0000 0.0000

***

Ca2CdSb2Rh5, optimized geometry, DFT GGA-PBE; electronic total energy = -5.4410 eV/atom; SG = No. 127; uncorrected formation energy = -43.32 kJ/mol of atoms
1.0
10.1969 0.0000 0.0000
0.0000 10.1969 0.0000
0.0000 0.0000 3.7145
Ca Cd Sb Rh
4 2 4 10
direct
0.1705 0.3295 0.0000
0.3295 0.8295 0.0000
0.6705 0.1705 0.0000
0.8295 0.6705 0.0000
0.0000 0.0000 0.0000
0.5000 0.5000 0.0000
0.1290 0.6290 0.0000
0.3710 0.1290 0.0000
0.6290 0.8710 0.0000
0.8710 0.3710 0.0000
0.0000 0.5000 0.5000
0.0658 0.7968 0.5000
0.2032 0.0658 0.5000
0.2968 0.5658 0.5000
0.4342 0.2968 0.5000
0.5000 0.0000 0.5000
0.5658 0.7032 0.5000
0.7032 0.4342 0.5000
0.7968 0.9342 0.5000
0.9342 0.2032 0.5000

***

Sr3TlP2Pd9, optimized geometry, DFT GGA-PBE; electronic total energy = -4.9229 eV/atom; SG = No. 164; DFT formation energy = -0.592 eV/atom
1.0
6.2493 0.0000 0.0000
-3.1246 5.4120 0.0000
0.0000 0.0000 9.7812
Sr Tl P Pd
3 1 2 9
direct
0.0000 0.0000 0.0000
0.3333 0.6667 0.6806
0.6667 0.3333 0.3194
0.0000 0.0000 0.5000
0.3333 0.6667 0.1553
0.6667 0.3333 0.8447
0.0000 0.5000 0.0000
0.1523 0.3046 0.2748
0.1523 0.8477 0.2748
0.3046 0.1523 0.7252
0.5000 0.0000 0.0000
0.5000 0.5000 0.0000
0.6954 0.8477 0.2748
0.8477 0.1523 0.7252
0.8477 0.6954 0.7252

***

KCoAs2, optimized geometry, DFT GGA-PBE; electronic total energy = -3.7209 eV/atom; energy above the lowest structure with this stoichiometry = 3.59 eV/f.u.; SG = No. 119; DFT formation energy = 0.655 eV/atom
1.0
4.2657 0.0000 0.0000
0.0000 4.2657 0.0000
0.0000 0.0000 8.9155
K Co As
2 2 4
direct
0.0000 0.0000 0.0000
0.5000 0.5000 0.5000
0.0000 0.5000 0.2500
0.5000 0.0000 0.7500
0.0000 0.0000 0.5000
0.0000 0.5000 0.7500
0.5000 0.0000 0.2500
0.5000 0.5000 0.0000